! PBE Y2Mg2Ga, relaxed; values from VASP
! **Energy**: -3.7446 eV/atom
! **Energy relative to the lowest polymorph listed for this composition**: 225 meV per atom
! **Total magnetization**: 0.0 μB per cell
! **Energy of formation**: 41 kJ/mol of formula units
&SYSTEM
  ibrav = 0, nat = 10, ntyp = 3
/
ATOMIC_SPECIES
Y 88.91 Y.upf
Mg 24.30 Mg.upf
Ga 69.72 Ga.upf
ATOMIC_POSITIONS angstrom
Y 1.231 2.753 0.000
Y 2.753 6.738 0.000
Y 5.216 1.231 0.000
Y 6.738 5.216 0.000
Mg 1.172 5.157 2.220
Mg 2.813 1.172 2.220
Mg 5.157 6.797 2.220
Mg 6.797 2.813 2.220
Ga 0.000 0.000 0.000
Ga 3.985 3.985 0.000
CELL_PARAMETERS angstrom
7.969 0.000 0.000
0.000 7.969 0.000
0.000 0.000 4.439

***

! PBE CeHoCSe, relaxed; values from VASP
! **Energy**: -6.8937 eV/atom
! **Total magnetization**: 1.4 μB per cell
! **Formation energy (no corrections)**: -105 kJ per mole of atoms
&SYSTEM
  ibrav = 0, nat = 12, ntyp = 4
/
ATOMIC_SPECIES
Ce 140.12 Ce.upf
Ho 164.93 Ho.upf
C 12.01 C.upf
Se 78.96 Se.upf
ATOMIC_POSITIONS angstrom
Ce 0.000 0.000 0.000
Ce 0.000 2.192 13.266
Ce 1.899 1.096 6.633
Ho 0.000 0.000 9.345
Ho 0.000 2.192 2.713
Ho 1.899 1.096 15.978
C 0.000 0.000 14.583
C 0.000 2.192 7.950
C 1.899 1.096 1.318
Se 0.000 0.000 4.595
Se 0.000 2.192 17.860
Se 1.899 1.096 11.227
CELL_PARAMETERS angstrom
3.797 0.000 0.000
-1.899 3.289 0.000
0.000 0.000 19.898

***

! PBE CaDyY4S8, relaxed; values from VASP
! **Energy**: -6.6858 eV/atom
! **Total magnetization**: 0.0 μB per cell
! **Formation energy (no corrections)**: -194 kJ per mole of atoms
&SYSTEM
  ibrav = 0, nat = 14, ntyp = 4
/
ATOMIC_SPECIES
Ca 40.08 Ca.upf
Dy 162.50 Dy.upf
Y 88.91 Y.upf
S 32.06 S.upf
ATOMIC_POSITIONS angstrom
Ca 0.000 0.000 0.000
Dy 0.000 0.000 12.439
Y -2.055 -1.187 9.079
Y 0.000 0.000 4.957
Y 2.055 -1.187 9.079
Y 0.000 2.373 9.079
S 0.000 0.000 7.596
S 0.000 -2.185 10.696
S -1.892 1.092 10.696
S -1.856 -1.072 14.115
S 1.892 1.092 10.696
S 1.856 -1.072 14.115
S 0.000 2.144 14.115
S 0.000 0.000 17.153
CELL_PARAMETERS angstrom
4.049 2.338 6.612
-4.049 2.338 6.612
0.000 -4.676 6.612

***

! PBE Li2RePb, relaxed; values from VASP
! **Energy**: -4.5460 eV/atom
! **Total magnetization**: 0.0 μB per cell
! **Energy of formation**: 174 kJ/mol of formula units
&SYSTEM
  ibrav = 0, nat = 4, ntyp = 3
/
ATOMIC_SPECIES
Li 6.94 Li.upf
Re 186.21 Re.upf
Pb 207.20 Pb.upf
ATOMIC_POSITIONS angstrom
Li -0.285 0.000 1.562
Li 2.121 0.000 3.904
Re 0.918 2.241 2.733
Pb 1.425 2.241 0.000
CELL_PARAMETERS angstrom
2.850 0.000 0.000
0.000 4.481 0.000
-1.014 0.000 5.466

***

! PBE TbHf2As4, relaxed; values from VASP
! **Energy**: -7.0691 eV/atom
! **Total magnetization**: 0.0 μB per cell
! **Energy of formation**: -613 kJ/mol of formula units
&SYSTEM
  ibrav = 0, nat = 14, ntyp = 3
/
ATOMIC_SPECIES
Tb 158.93 Tb.upf
Hf 178.49 Hf.upf
As 74.92 As.upf
ATOMIC_POSITIONS angstrom
Tb 1.932 4.966 9.680
Tb 1.932 -4.966 3.227
Hf 1.932 1.714 7.219
Hf 1.932 1.714 12.140
Hf 1.932 -1.714 0.766
Hf 1.932 -1.714 5.687
As 0.000 0.000 0.000
As 0.000 0.000 6.453
As 1.932 2.996 1.632
As 1.932 2.996 4.821
As 1.932 0.759 9.680
As 1.932 -0.759 3.227
As 1.932 -2.996 8.085
As 1.932 -2.996 11.274
CELL_PARAMETERS angstrom
1.932 -6.378 0.000
1.932 6.378 0.000
0.000 0.000 12.906

***

! PBE CsPdBr3, relaxed; values from VASP
! **Energy**: -3.0162 eV/atom
! **Total magnetization**: 2.0 μB per cell
! **Formation energy (no corrections)**: -77 kJ per mole of atoms
&SYSTEM
  ibrav = 0, nat = 10, ntyp = 3
/
ATOMIC_SPECIES
Cs 132.91 Cs.upf
Pd 106.42 Pd.upf
Br 79.90 Br.upf
ATOMIC_POSITIONS angstrom
Cs 2.029 0.000 0.005
Cs 6.086 0.000 7.257
Pd 2.029 2.665 3.632
Pd 6.086 2.665 3.630
Br 0.001 2.665 1.866
Br 8.114 2.665 5.396
Br 2.029 0.000 3.635
Br 4.057 2.665 1.866
Br 4.058 2.665 5.396
Br 6.086 0.000 3.627
CELL_PARAMETERS angstrom
8.115 0.000 0.000
0.000 5.330 0.000
0.000 0.000 7.262

***

! PBE AcRhN, relaxed; values from VASP
! **Energy**: -7.1832 eV/atom
! **Energy relative to the lowest polymorph listed for this composition**: 213 meV per atom
! **Total magnetization**: 0.0 μB per cell
! **Formation energy (no corrections)**: -57 kJ per mole of atoms
&SYSTEM
  ibrav = 0, nat = 12, ntyp = 3
/
ATOMIC_SPECIES
Ac 227.00 Ac.upf
Rh 102.91 Rh.upf
N 14.01 N.upf
ATOMIC_POSITIONS angstrom
Ac 1.554 0.875 0.808
Ac 3.567 2.626 3.908
Ac 6.676 0.875 2.292
Ac 8.689 2.626 5.393
Rh 0.776 0.875 3.994
Rh 4.346 2.626 0.893
Rh 5.897 0.875 5.307
Rh 9.467 2.626 2.207
N 1.120 2.626 5.073
N 4.002 0.875 1.973
N 6.241 2.626 4.228
N 9.123 0.875 1.128
CELL_PARAMETERS angstrom
10.243 0.000 0.000
0.000 3.501 0.000
0.000 0.000 6.201

***

! PBE Sc4Pd3Ru, relaxed; values from VASP
! **Energy**: -7.1382 eV/atom
! **Total magnetization**: 0.0 μB per cell
! **Energy of formation**: -668 kJ/mol of formula units
&SYSTEM
  ibrav = 0, nat = 8, ntyp = 3
/
ATOMIC_SPECIES
Sc 44.96 Sc.upf
Pd 106.42 Pd.upf
Ru 101.07 Ru.upf
ATOMIC_POSITIONS angstrom
Sc 0.000 0.000 1.551
Sc 0.000 0.000 4.956
Sc 0.000 0.000 8.362
Sc 0.000 0.000 11.767
Pd 1.629 1.629 3.304
Pd 1.629 1.629 6.659
Pd 1.629 1.629 10.014
Ru 1.629 1.629 0.000
CELL_PARAMETERS angstrom
3.258 0.000 0.000
0.000 3.258 0.000
0.000 0.000 13.318

***

! PBE Pm6NdDyEr2, relaxed; values from VASP
! **Energy**: -4.5827 eV/atom
! **Total magnetization**: 0.0 μB per cell
! **Energy of formation**: 113 kJ/mol of formula units
&SYSTEM
  ibrav = 0, nat = 20, ntyp = 4
/
ATOMIC_SPECIES
Pm 145.00 Pm.upf
Nd 144.24 Nd.upf
Dy 162.50 Dy.upf
Er 167.26 Er.upf
ATOMIC_POSITIONS angstrom
Pm 2.449 4.180 1.763
Pm 3.291 4.917 5.327
Pm 3.963 4.917 9.074
Pm 3.210 1.638 3.648
Pm 6.128 4.180 3.037
Pm 5.368 1.638 1.152
Pm 2.548 -1.638 8.449
Pm 1.787 -4.180 6.564
Pm 4.706 -1.638 5.953
Pm 3.953 -4.917 0.527
Pm 4.625 -4.917 4.274
Pm 5.466 -4.180 7.838
Nd 3.627 1.414 7.201
Nd 4.289 -1.414 2.400
Dy 4.289 7.173 2.400
Dy 3.627 -7.173 7.201
Er 2.202 0.742 0.443
Er 1.540 -0.742 5.243
Er 6.375 0.742 4.358
Er 5.713 -0.742 9.159
CELL_PARAMETERS angstrom
4.620 -7.611 0.000
4.620 7.611 0.000
-1.324 0.000 9.601